P | First-principles (PBE) data for crystalline Ac5Te4Se at its relaxed geometry, as listed in the Alexandria database.

a b c (Å): 4.676 4.676 33.246
angles (deg): 90.00 90.00 90.00
Space group I4/mmm (No. 139)
Inequivalent atoms, fractional coordinates:
Ac 0.000 0.000 0.000 (multiplicity 2)
Ac 0.000 0.000 0.204 (multiplicity 4)
Ac 0.000 0.000 0.407 (multiplicity 4)
Te 0.000 0.000 0.101 (multiplicity 4)
Te 0.000 0.000 0.305 (multiplicity 4)
Se 0.000 0.000 0.500 (multiplicity 2)

Calculated volume   363.53 Å³/f.u.
Magnetic moment   0.000 μB/atom

Q | First-principles (PBE) data for crystalline Ac5Te4Se at its relaxed geometry, as listed in the Alexandria database.

a b c (Å): 4.6521 4.6521 58.0121
angles (deg): 90.00 90.00 120.00
Space group R-3m (No. 166, hexagonal axes)
Inequivalent atoms, fractional coordinates:
Ac 0.0000 0.0000 0.0000 (multiplicity 3)
Ac 0.0000 0.0000 0.1959 (multiplicity 6)
Ac 0.0000 0.0000 0.4016 (multiplicity 6)
Te 0.0000 0.0000 0.1028 (multiplicity 6)
Te 0.0000 0.0000 0.2992 (multiplicity 6)
Se 0.0000 0.0000 0.5000 (multiplicity 3)

Calculated volume   362.43 Å³/f.u.
Magnetic moment   0.000 μB/atom

So which one is most stable? That would be Q, about 14 meV/atom below the next structure.

P | First-principles (PBE) data for crystalline Ac4Te3Se at its relaxed geometry, as listed in the Alexandria database.

a b c (Å): 9.394 13.224 4.642
angles (deg): 90.00 90.00 90.00
Space group Cmmm (No. 65)
Inequivalent atoms, fractional coordinates:
Ac 0.000 0.239 0.000 (multiplicity 4)
Ac 0.231 0.000 0.500 (multiplicity 4)
Te 0.000 0.500 0.000 (multiplicity 2)
Te 0.250 0.250 0.500 (multiplicity 4)
Se 0.000 0.000 0.000 (multiplicity 2)

Calculated volume   288.34 Å³/f.u.
Magnetic moment   0.000 μB/atom

Q | First-principles (PBE) data for crystalline Ac4Te3Se at its relaxed geometry, as listed in the Alexandria database.

a b c (Å): 6.612 6.612 6.612
angles (deg): 90.00 90.00 90.00
Space group Pm-3m (No. 221)
Inequivalent atoms, fractional coordinates:
Ac 0.000 0.000 0.000 (multiplicity 1)
Ac 0.000 0.500 0.500 (multiplicity 3)
Te 0.000 0.000 0.500 (multiplicity 3)
Se 0.500 0.500 0.500 (multiplicity 1)

Calculated volume   289.05 Å³/f.u.
Magnetic moment   0.000 μB/atom

So which one is most stable? That would be P, about 32 meV/atom below the next structure.

P | First-principles (PBE) data for crystalline Ac2ThSe5 at its relaxed geometry, as listed in the Alexandria database.

a b c (Å): 12.906 8.902 8.139
angles (deg): 90.00 90.00 90.00
Space group Pnma (No. 62)
Inequivalent atoms, fractional coordinates:
Ac 0.176 0.001 0.031 (multiplicity 8)
Th 0.008 0.250 0.570 (multiplicity 4)
Se 0.003 0.250 0.951 (multiplicity 4)
Se 0.092 0.540 0.666 (multiplicity 8)
Se 0.188 0.250 0.337 (multiplicity 4)
Se 0.213 0.750 0.312 (multiplicity 4)

Calculated volume   233.76 Å³/f.u.
Magnetic moment   0.000 μB/atom

Q | First-principles (PBE) data for crystalline Ac2ThSe5 at its relaxed geometry, as listed in the Alexandria database.

a b c (Å): 5.839 15.160 14.592
angles (deg): 90.00 90.00 90.00
Space group Cmcm (No. 63)
Inequivalent atoms, fractional coordinates:
Ac 0.000 0.143 0.063 (multiplicity 8)
Th 0.000 0.189 0.750 (multiplicity 4)
Se 0.000 0.049 0.621 (multiplicity 8)
Se 0.000 0.260 0.250 (multiplicity 4)
Se 0.000 0.299 0.583 (multiplicity 8)

Calculated volume   322.91 Å³/f.u.
Magnetic moment   0.000 μB/atom

So which one is most stable? That would be P, about 129 meV/atom below the next structure.